Na3ScIn3Se8 (GGA-PBE, relaxed); total DFT energy (no corrections) = -3.96 eV per atom; size of the total moment = 0.000 μB/atom; space group = C2/m (12); E_form (uncorrected) = -0.866 eV/atom
1.0
6.8498 -3.9349 0.0000
6.8498 3.9349 0.0000
-4.5821 0.0000 7.2514
Na Sc In Se
3 1 3 8
Direct
0.0000 0.0000 0.0000
0.0000 0.5000 0.0000
0.5000 0.0000 0.0000
0.0000 0.0000 0.5000
0.0000 0.5000 0.5000
0.5000 0.0000 0.5000
0.5000 0.5000 0.5000
0.2362 0.2362 0.7183
0.2367 0.7456 0.7187
0.2544 0.7633 0.2813
0.2600 0.2600 0.2804
0.7400 0.7400 0.7196
0.7456 0.2367 0.7187
0.7633 0.2544 0.2813
0.7638 0.7638 0.2817

=====

NaSmScIn (GGA-PBE, relaxed); total DFT energy (no corrections) = -3.88 eV per atom; size of the total moment = 0.000 μB/atom; space group = F-43m (216); ΔH_f (0 K) = -0.0997 eV per atom
1.0
0.0000 3.7522 3.7522
3.7522 0.0000 3.7522
3.7522 3.7522 0.0000
Na Sm Sc In
1 1 1 1
Direct
0.0000 0.0000 0.0000
0.2500 0.2500 0.2500
0.7500 0.7500 0.7500
0.5000 0.5000 0.5000

=====

Na3Sc3InTe8 (GGA-PBE, relaxed); total DFT energy (no corrections) = -4.34 eV per atom; size of the total moment = 0.000 μB/atom; space group = C2/m (12); E_form (uncorrected) = -0.957 eV/atom
1.0
7.2400 -4.1603 0.0000
7.2400 4.1603 0.0000
-4.8395 0.0000 7.7173
Na Sc In Te
3 3 1 8
Direct
0.0000 0.0000 0.0000
0.0000 0.5000 0.0000
0.5000 0.0000 0.0000
0.0000 0.5000 0.5000
0.5000 0.0000 0.5000
0.5000 0.5000 0.5000
0.0000 0.0000 0.5000
0.2474 0.2474 0.7237
0.2468 0.7295 0.7235
0.2598 0.2598 0.2792
0.2705 0.7532 0.2765
0.7295 0.2468 0.7235
0.7402 0.7402 0.7208
0.7532 0.2705 0.2765
0.7526 0.7526 0.2763

=====

Na4Sc3InTe8 (GGA-PBE, relaxed); total DFT energy (no corrections) = -4.27 eV per atom; size of the total moment = 0.000 μB/atom; space group = R-3m (166); E_form (uncorrected) = -1.014 eV/atom
1.0
4.2691 2.4648 7.5585
-4.2691 2.4648 7.5585
0.0000 -4.9295 7.5585
Na Sc In Te
4 3 1 8
Direct
0.0000 0.0000 0.0000
0.0000 0.5000 0.5000
0.5000 0.0000 0.5000
0.5000 0.5000 0.0000
0.0000 0.0000 0.5000
0.0000 0.5000 0.0000
0.5000 0.0000 0.0000
0.5000 0.5000 0.5000
0.2341 0.7434 0.7434
0.2398 0.2398 0.2398
0.2566 0.2566 0.7659
0.2566 0.7659 0.2566
0.7434 0.2341 0.7434
0.7434 0.7434 0.2341
0.7602 0.7602 0.7602
0.7659 0.2566 0.2566

=====

Na2ScTiIn (GGA-PBE, relaxed); total DFT energy (no corrections) = -2.65 eV per atom; size of the total moment = 0.161 μB/atom; space group = P4/mmm (123); ΔH_f (0 K) = 1.2753 eV per atom
1.0
5.2199 0.0000 0.0000
0.0000 5.2199 0.0000
0.0000 0.0000 5.4478
Na Sc Ti In
2 1 1 1
Direct
0.0000 0.5000 0.0000
0.5000 0.0000 0.0000
0.0000 0.0000 0.0000
0.5000 0.5000 0.5000
0.0000 0.0000 0.5000

=====

NaScTlIn (GGA-PBE, relaxed); total DFT energy (no corrections) = -3.35 eV per atom; size of the total moment = 0.000 μB/atom; space group = F-43m (216); ΔH_f (0 K) = -0.1655 eV per atom
1.0
0.0000 3.6498 3.6498
3.6498 0.0000 3.6498
3.6498 3.6498 0.0000
Na Sc Tl In
1 1 1 1
Direct
0.0000 0.0000 0.0000
0.5000 0.5000 0.5000
0.2500 0.2500 0.2500
0.7500 0.7500 0.7500

=====

What DOS at the Fermi energy values result from the calculations? In sequence: 8.23, 4.61, 3.41, 2.40, 7.90, 1.78 states/eV/cell.